[1]
Below is crystalline LiMn2Cu at its relaxed geometry, with properties calculated at the PBE level.

The space group is P2/m (No. 10) and the conventional cell measures 2.343, 4.283 and 4.583 Å, with angles of 90.00, 102.97 and 90.00 degrees. The inequivalent atoms are Li at (0.000, 0.000, 0.000), Mn at (0.271, 0.500, 0.759) and Cu at (0.500, 0.000, 0.500).

Its volume is 45 Å³ per cell. The spin magnetization is 0.0 Bohr magnetons per cell. As for the formation enthalpy at 0 K: 327.0 meV per atom. Its crystal system is monoclinic.

***

[2]
Below is crystalline Pm2GaRh3 at its relaxed geometry, with properties calculated at the PBE level.

The space group is Immm (No. 71) and the conventional cell measures 4.293, 5.356 and 10.795 Å, with angles of 90.00, 90.00 and 90.00 degrees. The inequivalent atoms are Pm at (0.000, 0.000, 0.186), Ga at (0.000, 0.000, 0.500), Rh at (0.000, 0.500, 0.124) and Rh at (0.000, 0.500, 0.500).

Its volume is 248 Å³ per cell. The spin magnetization is 0.0 Bohr magnetons per cell. As for the formation enthalpy at 0 K: -473.4 meV per atom. Its crystal system is orthorhombic.

***

[3]
Below is crystalline AcY6Te8 at its relaxed geometry, with properties calculated at the PBE level.

The space group is R-3 (No. 148, hexagonal axes) and the conventional cell measures 10.0241, 10.0241 and 17.0958 Å, with angles of 90.00, 90.00 and 120.00 degrees. The inequivalent atoms are Ac at (0.0000, 0.0000, 0.0000), Y at (0.0333, 0.2499, 0.4088), Te at (0.0000, 0.0000, 0.2901) and Te at (0.0138, 0.7183, 0.0912).

Its volume is 1488 Å³ per cell. The spin magnetization is 0.0 Bohr magnetons per cell. The formation energy (no corrections) comes out at -1.229 eV per atom. Its crystal system is trigonal.

***

Q: What is the spin magnetization in the first record?
A: 0.0 Bohr magnetons per cell